1.
GaTeMoI2 | meta-GGA SCAN | single point on PBEsol structure

spin magnetization	4.35	Bohr magnetons per cell
SG	No. 123
formation energy without anion corrections	388	kJ/mol of formula units

a = 5.3626 Å, b = 5.3626 Å, c = 5.4834 Å
α = 90.00°, β = 90.00°, γ = 90.00°
Sites, in units of the cell vectors:
1 I 0.5000 0.0000 0.0000
2 Mo 0.5000 0.5000 0.5000
3 I 0.0000 0.5000 0.0000
4 Ga 0.0000 0.0000 0.0000
5 Te 0.0000 0.0000 0.5000

2.
Y3ScSn | meta-GGA SCAN | single point on PBEsol structure

DFT formation energy	0.20	eV per atom
spin magnetization	2.21	Bohr magnetons per cell
SG	No. 221

a = 5.6397 Å, b = 5.6397 Å, c = 5.6397 Å
α = 90.00°, β = 90.00°, γ = 90.00°
Sites, in units of the cell vectors:
1 Sn 0.0000 0.0000 0.0000
2 Y 0.0000 0.0000 0.5000
3 Sc 0.5000 0.5000 0.5000
4 Y 0.0000 0.5000 0.0000
5 Y 0.5000 0.0000 0.0000

3.
Zn4Rh | meta-GGA SCAN | single point on PBEsol structure

DFT formation energy	-0.28	eV per atom
spin magnetization	0.00	Bohr magnetons per cell
SG	No. 87

a = 3.6489 Å, b = 4.6590 Å, c = 4.6590 Å
α = 81.18°, β = 66.95°, γ = 66.95°
Sites, in units of the cell vectors:
1 Zn 0.2042 0.1940 0.3977
2 Zn 0.7958 0.8060 0.6023
3 Zn 0.3982 0.3977 0.8060
4 Rh 0.0000 0.0000 0.0000
5 Zn 0.6018 0.6023 0.1940

4.
HfCo2Au2 | meta-GGA SCAN | single point on PBEsol structure

DFT formation energy	-0.12	eV per atom
spin magnetization	3.50	Bohr magnetons per cell
SG	No. 139

a = 3.4771 Å, b = 3.4771 Å, c = 7.0080 Å
α = 104.36°, β = 104.36°, γ = 90.00°
Sites, in units of the cell vectors:
1 Co 0.2500 0.7500 0.5000
2 Au 0.3952 0.3952 0.7905
3 Au 0.6048 0.6048 0.2095
4 Co 0.7500 0.2500 0.5000
5 Hf 0.0000 0.0000 0.0000

5.
Zr2CuPt | meta-GGA SCAN | single point on PBEsol structure

DFT formation energy	-0.62	eV per atom
spin magnetization	0.00	Bohr magnetons per cell
SG	No. 99

a = 3.3548 Å, b = 3.3548 Å, c = 6.2529 Å
α = 90.00°, β = 90.00°, γ = 90.00°
Sites, in units of the cell vectors:
1 Zr 0.5000 0.5000 0.2849
2 Cu 0.0000 0.0000 0.5136
3 Pt 0.5000 0.5000 0.7356
4 Zr 0.0000 0.0000 0.9659

6.
TiReTeN2 | meta-GGA SCAN | single point on PBEsol structure

spin magnetization	3.39	Bohr magnetons per cell
SG	No. 123
formation energy without anion corrections	507	kJ/mol of formula units

a = 3.8784 Å, b = 3.8784 Å, c = 5.6335 Å
α = 90.00°, β = 90.00°, γ = 90.00°
Sites, in units of the cell vectors:
1 Re 0.5000 0.5000 0.5000
2 Ti 0.0000 0.0000 0.0000
3 N 0.0000 0.5000 0.0000
4 Te 0.0000 0.0000 0.5000
5 N 0.5000 0.0000 0.0000

7.
Ta7Mo | meta-GGA SCAN | single point on PBEsol structure

energy above the lowest structure with this stoichiometry	4	meV per atom
DFT formation energy	-0.05	eV per atom
spin magnetization	0.00	Bohr magnetons per cell
SG	No. 166

a = 4.5991 Å, b = 4.5991 Å, c = 8.0002 Å
α = 73.30°, β = 73.30°, γ = 60.00°
Sites, in units of the cell vectors:
1 Ta 0.5000 0.5000 0.5000
2 Ta 0.2475 0.2475 0.2575
3 Ta 0.1225 0.1225 0.6325
4 Ta 0.8775 0.8775 0.3675
5 Mo 0.0000 0.0000 0.0000
6 Ta 0.7525 0.7525 0.7425
7 Ta 0.6273 0.6273 0.1181
8 Ta 0.3727 0.3727 0.8819

8.
LaCr2CuNi | meta-GGA SCAN | single point on PBEsol structure

DFT formation energy	0.85	eV per atom
spin magnetization	8.20	Bohr magnetons per cell
SG	No. 123

a = 4.5513 Å, b = 4.5513 Å, c = 5.1630 Å
α = 90.00°, β = 90.00°, γ = 90.00°
Sites, in units of the cell vectors:
1 La 0.0000 0.0000 0.5000
2 Cr 0.5000 0.0000 0.0000
3 Ni 0.5000 0.5000 0.5000
4 Cu 0.0000 0.0000 0.0000
5 Cr 0.0000 0.5000 0.0000

9.
SbTe2PbS | meta-GGA SCAN | single point on PBEsol structure

spin magnetization	1.92	Bohr magnetons per cell
SG	No. 123
formation energy without anion corrections	537	kJ/mol of formula units

a = 5.6722 Å, b = 5.6722 Å, c = 5.7676 Å
α = 90.00°, β = 90.00°, γ = 90.00°
Sites, in units of the cell vectors:
1 Te 0.5000 0.0000 0.0000
2 Sb 0.0000 0.0000 0.5000
3 Pb 0.0000 0.0000 0.0000
4 S 0.5000 0.5000 0.5000
5 Te 0.0000 0.5000 0.0000

10.
Zr2HgAu | meta-GGA SCAN | single point on PBEsol structure

DFT formation energy	-0.51	eV per atom
spin magnetization	0.00	Bohr magnetons per cell
SG	No. 65

a = 3.0751 Å, b = 5.1824 Å, c = 5.1824 Å
α = 108.52°, β = 90.00°, γ = 90.00°
Sites, in units of the cell vectors:
1 Hg 0.5000 0.5000 0.5000
2 Au 0.5000 0.0000 0.0000
3 Zr 0.0000 0.5000 0.0000
4 Zr 0.0000 0.0000 0.5000

11.
Zn3TeP2Pb3O14 | meta-GGA SCAN | single point on PBEsol structure

spin magnetization	0.00	Bohr magnetons per cell
SG	No. 150
formation energy without anion corrections	-4056	kJ/mol of formula units

a = 5.1889 Å, b = 8.3828 Å, c = 8.3828 Å
α = 120.00°, β = 90.00°, γ = 90.00°
Sites, in units of the cell vectors:
1 O 0.2134 0.9092 0.1273
2 O 0.6680 0.8041 0.5260
3 O 0.2134 0.2181 0.0908
4 P 0.4489 0.3333 0.6667
5 Pb 0.0000 0.0000 0.4093
6 O 0.3320 0.1959 0.7218
7 O 0.6680 0.7218 0.1959
8 O 0.2557 0.6667 0.3333
9 O 0.2134 0.8727 0.7819
10 O 0.7866 0.0908 0.2181
11 O 0.6680 0.4740 0.2782
12 O 0.7866 0.1273 0.9092
13 Zn 0.5000 0.2483 0.2483
14 O 0.7443 0.3333 0.6667
15 Zn 0.5000 0.7517 0.0000
16 P 0.5511 0.6667 0.3333
17 O 0.7866 0.7819 0.8727
18 O 0.3320 0.2782 0.4740
19 Pb 0.0000 0.5907 0.5907
20 Zn 0.5000 0.0000 0.7517
21 Pb 0.0000 0.4093 0.0000
22 O 0.3320 0.5260 0.8041
23 Te 0.0000 0.0000 0.0000

12.
Li3Nb6O11 | meta-GGA SCAN | single point on PBEsol structure

spin magnetization	1.09	Bohr magnetons per cell
SG	No. 164
formation energy without anion corrections	-4670	kJ/mol of formula units

a = 5.9839 Å, b = 5.9839 Å, c = 7.4902 Å
α = 90.00°, β = 90.00°, γ = 120.00°
Sites, in units of the cell vectors:
1 Li 0.6667 0.3333 0.4191
2 Nb 0.1598 0.3196 0.1647
3 Li 0.0000 0.0000 0.5000
4 O 0.8405 0.6811 0.3154
5 O 0.5000 0.5000 0.0000
6 O 0.5000 0.0000 0.0000
7 O 0.0000 0.5000 0.0000
8 Nb 0.1598 0.8402 0.1647
9 O 0.3189 0.1595 0.3154
10 Nb 0.8402 0.1598 0.8353
11 O 0.6811 0.8405 0.6846
12 Nb 0.8402 0.6804 0.8353
13 Nb 0.3196 0.1598 0.8353
14 Nb 0.6804 0.8402 0.1647
15 Li 0.3333 0.6667 0.5809
16 O 0.1595 0.8405 0.6846
17 O 0.1595 0.3189 0.6846
18 O 0.6667 0.3333 0.6792
19 O 0.3333 0.6667 0.3208
20 O 0.8405 0.1595 0.3154

D(E_F) across the listed records, respectively: 2.583 9.035 1.464 2.548 2.198 3.256 9.482 2.398 5.900 3.764 0.000 6.841 states/eV per cell.
VASP energy across the listed records, respectively: -157.9 -132.7 -89.2 -236.2 -149.3 -137.7 -501.4 -107.0 -191.6 -200.8 -455.2 -322.9 eV/cell.